# Er3Ni7Ge2 PBE-GGA relaxed
data_Er3Ni7Ge2
_chemical_formula_sum 'Er6 Ni14 Ge4'
_symmetry_space_group_name_H-M 'C m m m'
_symmetry_Int_Tables_number 65
_symmetry_space_group_name_Hall '-C 2 2'
_cell_length_a 3.9524
_cell_length_b 27.4443
_cell_length_c 3.6528
_cell_angle_alpha 90.00
_cell_angle_beta 90.00
_cell_angle_gamma 90.00
loop_
_atom_site_label
_atom_site_type_symbol
_atom_site_fract_x
_atom_site_fract_y
_atom_site_fract_z
_atom_site_occupancy
Er1 Er 0.0000 0.0000 0.0000 1
Er2 Er 0.0000 0.2032 0.0000 1
Ni1 Ni 0.0000 0.1305 0.5000 1
Ni2 Ni 0.0000 0.2920 0.5000 1
Ni3 Ni 0.0000 0.3642 0.0000 1
Ni4 Ni 0.0000 0.5000 0.5000 1
Ge1 Ge 0.0000 0.4176 0.5000 1
# ΔE to the lowest computed polymorph: 153 kJ/mol of formula units

# ErNi5Ge3 PBE-GGA relaxed
data_ErNi5Ge3
_chemical_formula_sum 'Er4 Ni20 Ge12'
_symmetry_space_group_name_H-M 'C m c m'
_symmetry_Int_Tables_number 63
_symmetry_space_group_name_Hall '-C 2c 2'
_cell_length_a 3.7007
_cell_length_b 12.1302
_cell_length_c 11.7542
_cell_angle_alpha 90.00
_cell_angle_beta 90.00
_cell_angle_gamma 90.00
loop_
_atom_site_label
_atom_site_type_symbol
_atom_site_fract_x
_atom_site_fract_y
_atom_site_fract_z
_atom_site_occupancy
Er1 Er 0.0000 0.1507 0.2500 1
Ni1 Ni 0.0000 0.0000 0.0000 1
Ni2 Ni 0.0000 0.1944 0.5664 1
Ni3 Ni 0.0000 0.4496 0.1444 1
Ge1 Ge 0.0000 0.1172 0.7500 1
Ge2 Ge 0.0000 0.3802 0.5467 1
# Calculated total energy: -205.8 eV per cell

# ErNi3Ge2 PBE-GGA relaxed
data_ErNi3Ge2
_chemical_formula_sum 'Er4 Ni12 Ge8'
_symmetry_space_group_name_H-M 'C 1 2/m 1'
_symmetry_Int_Tables_number 12
_cell_length_a 14.8638
_cell_length_b 3.8630
_cell_length_c 7.0752
_cell_angle_alpha 90.00
_cell_angle_beta 115.93
_cell_angle_gamma 90.00
loop_
_symmetry_equiv_pos_as_xyz
'x,y,z'
'-x,-y,-z'
'-x,y,-z'
'x,-y,z'
'x+1/2,y+1/2,z'
'-x+1/2,-y+1/2,-z'
'-x+1/2,y+1/2,-z'
'x+1/2,-y+1/2,z'
loop_
_atom_site_label
_atom_site_type_symbol
_atom_site_fract_x
_atom_site_fract_y
_atom_site_fract_z
_atom_site_occupancy
Er1 Er 0.1507 0.0000 0.0688 1
Ni1 Ni 0.0405 0.0000 0.3786 1
Ni2 Ni 0.0918 0.5000 0.6672 1
Ni3 Ni 0.1865 0.5000 0.4482 1
Ge1 Ge 0.0212 0.5000 0.1879 1
Ge2 Ge 0.1924 0.0000 0.6878 1
# Calculated total energy: -137.6 eV per cell

# ErNi4Ge4 PBE-GGA relaxed
data_ErNi4Ge4
_chemical_formula_sum 'Er2 Ni8 Ge8'
_symmetry_space_group_name_H-M 'I 4/m'
_symmetry_Int_Tables_number 87
_symmetry_space_group_name_Hall '-I 4'
_cell_length_a 8.0105
_cell_length_b 8.0105
_cell_length_c 4.5916
_cell_angle_alpha 90.00
_cell_angle_beta 90.00
_cell_angle_gamma 90.00
loop_
_atom_site_label
_atom_site_type_symbol
_atom_site_fract_x
_atom_site_fract_y
_atom_site_fract_z
_atom_site_occupancy
Er1 Er 0.0000 0.0000 0.0000 1
Ni1 Ni 0.1712 0.3153 0.5000 1
Ge1 Ge 0.1197 0.3790 0.0000 1
# Calculated total energy: -97.3 eV per cell

# Er3Ni2Ge4 PBE-GGA relaxed
data_Er3Ni2Ge4
_chemical_formula_sum 'Er6 Ni4 Ge8'
_symmetry_space_group_name_H-M 'C 1 2/m 1'
_symmetry_Int_Tables_number 12
_cell_length_a 10.5986
_cell_length_b 4.1407
_cell_length_c 8.0648
_cell_angle_alpha 90.00
_cell_angle_beta 102.64
_cell_angle_gamma 90.00
loop_
_symmetry_equiv_pos_as_xyz
'x,y,z'
'-x,-y,-z'
'-x,y,-z'
'x,-y,z'
'x+1/2,y+1/2,z'
'-x+1/2,-y+1/2,-z'
'-x+1/2,y+1/2,-z'
'x+1/2,-y+1/2,z'
loop_
_atom_site_label
_atom_site_type_symbol
_atom_site_fract_x
_atom_site_fract_y
_atom_site_fract_z
_atom_site_occupancy
Er1 Er 0.0000 0.0000 0.0000 1
Er2 Er 0.1612 0.5000 0.6600 1
Ni1 Ni 0.1056 0.5000 0.2819 1
Ge1 Ge 0.0614 0.0000 0.3814 1
Ge2 Ge 0.2192 0.5000 0.0716 1
# ΔE to the lowest computed polymorph: 17 kJ/mol of formula units

# Er2Ni2Ge3 PBE-GGA relaxed
data_Er2Ni2Ge3
_chemical_formula_sum 'Er8 Ni8 Ge12'
_symmetry_space_group_name_H-M 'C m c m'
_symmetry_Int_Tables_number 63
_symmetry_space_group_name_Hall '-C 2c 2'
_cell_length_a 4.1139
_cell_length_b 17.6974
_cell_length_c 6.7024
_cell_angle_alpha 90.00
_cell_angle_beta 90.00
_cell_angle_gamma 90.00
loop_
_atom_site_label
_atom_site_type_symbol
_atom_site_fract_x
_atom_site_fract_y
_atom_site_fract_z
_atom_site_occupancy
Er1 Er 0.0000 0.0503 0.2500 1
Er2 Er 0.0000 0.1593 0.7500 1
Ni1 Ni 0.0000 0.3019 0.5539 1
Ge1 Ge 0.0000 0.2214 0.2500 1
Ge2 Ge 0.0000 0.4324 0.0590 1
# ΔE to the lowest computed polymorph: 0 kJ/mol of formula units

# ErNi8Ge2 PBE-GGA relaxed
data_ErNi8Ge2
_chemical_formula_sum 'Er1 Ni8 Ge2'
_symmetry_space_group_name_H-M 'P 4/m m m'
_symmetry_Int_Tables_number 123
_symmetry_space_group_name_Hall '-P 4 2'
_cell_length_a 5.7213
_cell_length_b 5.7213
_cell_length_c 4.9436
_cell_angle_alpha 90.00
_cell_angle_beta 90.00
_cell_angle_gamma 90.00
loop_
_atom_site_label
_atom_site_type_symbol
_atom_site_fract_x
_atom_site_fract_y
_atom_site_fract_z
_atom_site_occupancy
Er1 Er 0.0000 0.0000 0.0000 1
Ni1 Ni 0.2928 0.2928 0.2450 1
Ge1 Ge 0.0000 0.5000 0.5000 1
# Calculated total energy: -58.9 eV per cell

# Er3Ni7Ge2 PBE-GGA relaxed
data_Er3Ni7Ge2
_chemical_formula_sum 'Er6 Ni14 Ge4'
_symmetry_space_group_name_H-M 'I 4/m m m'
_symmetry_Int_Tables_number 139
_symmetry_space_group_name_Hall '-I 4 2'
_cell_length_a 3.7937
_cell_length_b 3.7937
_cell_length_c 26.0890
_cell_angle_alpha 90.00
_cell_angle_beta 90.00
_cell_angle_gamma 90.00
loop_
_atom_site_label
_atom_site_type_symbol
_atom_site_fract_x
_atom_site_fract_y
_atom_site_fract_z
_atom_site_occupancy
Er1 Er 0.0000 0.0000 0.0000 1
Er2 Er 0.0000 0.0000 0.1757 1
Ni1 Ni 0.0000 0.0000 0.2791 1
Ni2 Ni 0.0000 0.0000 0.5000 1
Ni3 Ni 0.0000 0.5000 0.0758 1
Ge1 Ge 0.0000 0.0000 0.3713 1
# ΔE to the lowest computed polymorph: 0 kJ/mol of formula units

# Er2Ni2Ge3 PBE-GGA relaxed
data_Er2Ni2Ge3
_chemical_formula_sum 'Er4 Ni4 Ge6'
_symmetry_space_group_name_H-M 'C 1 2/m 1'
_symmetry_Int_Tables_number 12
_cell_length_a 10.0109
_cell_length_b 4.0218
_cell_length_c 6.5863
_cell_angle_alpha 90.00
_cell_angle_beta 113.84
_cell_angle_gamma 90.00
loop_
_symmetry_equiv_pos_as_xyz
'x,y,z'
'-x,-y,-z'
'-x,y,-z'
'x,-y,z'
'x+1/2,y+1/2,z'
'-x+1/2,-y+1/2,-z'
'-x+1/2,y+1/2,-z'
'x+1/2,-y+1/2,z'
loop_
_atom_site_label
_atom_site_type_symbol
_atom_site_fract_x
_atom_site_fract_y
_atom_site_fract_z
_atom_site_occupancy
Er1 Er 0.1485 0.0000 0.2840 1
Ni1 Ni 0.1417 0.0000 0.7420 1
Ge1 Ge 0.0000 0.5000 0.5000 1
Ge2 Ge 0.1180 0.5000 0.9470 1
# ΔE to the lowest computed polymorph: 83 kJ/mol of formula units

# ErNi5Ge2 PBE-GGA relaxed
data_ErNi5Ge2
_chemical_formula_sum 'Er2 Ni10 Ge4'
_symmetry_space_group_name_H-M 'I m m m'
_symmetry_Int_Tables_number 71
_symmetry_space_group_name_Hall '-I 2 2'
_cell_length_a 3.6084
_cell_length_b 6.7009
_cell_length_c 9.2841
_cell_angle_alpha 90.00
_cell_angle_beta 90.00
_cell_angle_gamma 90.00
loop_
_atom_site_label
_atom_site_type_symbol
_atom_site_fract_x
_atom_site_fract_y
_atom_site_fract_z
_atom_site_occupancy
Er1 Er 0.0000 0.0000 0.0000 1
Ni1 Ni 0.0000 0.1883 0.3607 1
Ni2 Ni 0.0000 0.5000 0.0000 1
Ge1 Ge 0.0000 0.5000 0.2504 1
# Calculated total energy: -92.5 eV per cell

Question: Which formula does entry 7 have?
Answer: ErNi8Ge2